[1]
Lu2CuC: optimized geometry, PBE-GGA.

Lattice parameters (Å, degrees): 3.549 3.549 13.360 90.00 90.00 120.00
Element x y z (fractional)
C 0.000 0.000 0.000
C 0.000 0.000 0.500
Cu 0.667 0.333 0.250
Cu 0.333 0.667 0.750
Lu 0.333 0.667 0.097
Lu 0.333 0.667 0.403
Lu 0.667 0.333 0.597
Lu 0.667 0.333 0.903

* total magnetization: 0.003 μB/atom
* ρ: 9.697 Mg/m³
* E above lowest polymorph: 0 meV/atom


[2]
SrNbCuNi: optimized geometry, PBE-GGA.

Lattice parameters (Å, degrees): 4.603 4.603 4.603 60.00 60.00 60.00
Element x y z (fractional)
Cu 0.750 0.750 0.750
Nb 0.000 0.000 0.000
Ni 0.500 0.500 0.500
Sr 0.250 0.250 0.250

* total magnetization: 0.002 μB/atom
* ρ: 7.291 Mg/m³
* E above lowest polymorph: 262 meV/atom


[3]
Dy4Si3Pt: optimized geometry, PBE-GGA.

Lattice parameters (Å, degrees): 5.754 3.927 7.826 90.00 90.89 90.00
Element x y z (fractional)
Dy 0.616 0.000 0.178
Dy 0.122 0.500 0.333
Dy 0.886 0.000 0.675
Dy 0.378 0.500 0.811
Pt 0.367 0.000 0.540
Si 0.124 0.000 0.042
Si 0.634 0.500 0.459
Si 0.873 0.500 0.963

* total magnetization: 0.001 μB/atom
* total energy: -6.0002 eV/atom
* ρ: 8.730 Mg/m³


[4]
PrBr2O: optimized geometry, PBE-GGA.

Lattice parameters (Å, degrees): 7.201 7.201 8.874 108.78 108.78 35.38
Last column: magnetic moment on the atom in μB.
Element x y z (fractional)
Br 0.152 0.152 0.081  0.05
Br 0.841 0.841 0.419  0.24
Br 0.159 0.159 0.581  0.24
Br 0.848 0.848 0.919  0.05
O 0.498 0.498 0.300  0.50
O 0.502 0.502 0.700  0.50
Pr 0.999 0.999 0.249  0.00
Pr 0.001 0.001 0.751  0.00

* total magnetization: 0.250 μB/atom
* total energy: -4.8874 eV/atom
* ρ: 4.194 Mg/m³